## TiAlV2Hg (PBE-GGA)

Data for a geometry-optimized TiAlV2Hg structure.

Results
- VASP energy (eV per atom) = -4.5813
- crystal system = tetragonal
- energy above the most stable polymorph in this dataset (meV/atom) = 489
- size of the total moment (μB per formula unit) = 4.602
- calculated density (g/cm³) = 5.27
- formation energy from the elements (eV/f.u.) = 7.27

a b c (Å): 5.028 5.028 4.699
angles (deg): 90.00 90.00 90.00
Space group P4/mmm (No. 123)
One atom of each set of equivalent atoms:
Ti 0.000 0.000 0.000 x1
Al 0.500 0.500 0.000 x1
V 0.000 0.500 0.500 x2
Hg 0.500 0.500 0.500 x1

***

## EuZnSnPt (PBE-GGA)

Data for a geometry-optimized EuZnSnPt structure.

Results
- VASP energy (eV per atom) = -5.9171
- crystal system = cubic
- size of the total moment (μB per formula unit) = 6.936
- calculated density (g/cm³) = 10.45
- formation energy from the elements (eV/f.u.) = -2.08

a b c (Å): 6.964 6.964 6.964
angles (deg): 90.00 90.00 90.00
Space group F-43m (No. 216)
One atom of each set of equivalent atoms:
Eu 0.000 0.000 0.000 x4
Zn 0.250 0.250 0.250 x4
Sn 0.000 0.000 0.500 x4
Pt 0.250 0.250 0.750 x4

***

## PmPr2HoEr5 (PBE-GGA)

Data for a geometry-optimized PmPr2HoEr5 structure.

Results
- VASP energy (eV per atom) = -4.3675
- crystal system = tetragonal
- size of the total moment (μB per formula unit) = 0.000
- calculated density (g/cm³) = 8.10
- formation energy from the elements (eV/f.u.) = 2.39

a b c (Å): 8.677 8.677 15.547
angles (deg): 90.00 90.00 90.00
Space group I4/mcm (No. 140)
One atom of each set of equivalent atoms:
Pm 0.000 0.000 0.250 x4
Pr 0.118 0.382 0.000 x8
Ho 0.000 0.500 0.250 x4
Er 0.000 0.000 0.000 x4
Er 0.212 0.288 0.360 x16

***

## Rb2Y2TiSe6 (PBE-GGA)

Data for a geometry-optimized Rb2Y2TiSe6 structure.

Results
- VASP energy (eV per atom) = -5.5125
- crystal system = monoclinic
- size of the total moment (μB per formula unit) = 0.000
- calculated density (g/cm³) = 4.19
- energy relative to the elements, uncorrected (kcal/mol of atoms) = -35.58

a b c (Å): 7.016 12.028 8.537
angles (deg): 90.00 106.77 90.00
Space group C2/m (No. 12)
One atom of each set of equivalent atoms:
Rb 0.000 0.173 0.000 x4
Y 0.000 0.333 0.500 x4
Ti 0.000 0.000 0.500 x2
Se 0.221 0.153 0.688 x8
Se 0.240 0.000 0.314 x4

***

## KLi8 (PBE-GGA)

Data for a geometry-optimized KLi8 structure.

Results
- VASP energy (eV per atom) = -1.7340
- crystal system = tetragonal
- size of the total moment (μB per formula unit) = 0.000
- calculated density (g/cm³) = 0.70
- formation energy from the elements (eV/f.u.) = 0.80

a b c (Å): 9.879 9.879 4.600
angles (deg): 90.00 90.00 90.00
Space group I4/mmm (No. 139)
One atom of each set of equivalent atoms:
K 0.000 0.000 0.000 x2
Li 0.000 0.349 0.000 x8
Li 0.186 0.186 0.500 x8

***

## Th4Te2IrS (PBE-GGA)

Data for a geometry-optimized Th4Te2IrS structure.

Results
- VASP energy (eV per atom) = -7.4008
- crystal system = monoclinic
- size of the total moment (μB per formula unit) = 0.000
- calculated density (g/cm³) = 10.22
- energy relative to the elements, uncorrected (kcal/mol of atoms) = -29.56

a b c (Å): 7.408 4.146 7.838
angles (deg): 90.00 108.11 90.00
Space group P2/m (No. 10)
One atom of each set of equivalent atoms:
Th 0.226 0.000 0.208 x2
Th 0.265 0.500 0.788 x2
Te 0.000 0.000 0.500 x1
Te 0.500 0.500 0.500 x1
Ir 0.000 0.500 0.000 x1
S 0.500 0.000 0.000 x1

***

## Ac12GaHg6 (PBE-GGA)

Data for a geometry-optimized Ac12GaHg6 structure.

Results
- VASP energy (eV per atom) = -2.9815
- crystal system = trigonal
- size of the total moment (μB per formula unit) = 0.002
- calculated density (g/cm³) = 8.27
- formation energy from the elements (eV/f.u.) = -2.51

a b c (Å): 14.4898 14.4898 13.2428
angles (deg): 90.00 90.00 120.00
Space group R-3 (No. 148, hexagonal axes)
One atom of each set of equivalent atoms:
Ac 0.0293 0.8221 0.3909 x18
Ac 0.0397 0.8349 0.8844 x18
Ga 0.0000 0.0000 0.0000 x3
Hg 0.0426 0.7782 0.6431 x18

***

## PmErCrN4 (PBE-GGA)

Data for a geometry-optimized PmErCrN4 structure.

Results
- VASP energy (eV per atom) = -8.5789
- crystal system = monoclinic
- size of the total moment (μB per formula unit) = 0.000
- calculated density (g/cm³) = 7.17
- energy relative to the elements, uncorrected (kcal/mol of atoms) = -25.74

a b c (Å): 5.539 5.488 6.739
angles (deg): 90.00 108.05 90.00
Space group P2_1/m (No. 11)
One atom of each set of equivalent atoms:
Pm 0.226 0.250 0.434 x2
Er 0.298 0.250 0.962 x2
Cr 0.255 0.750 0.190 x2
N 0.055 0.750 0.346 x2
N 0.078 0.750 0.934 x2
N 0.468 0.505 0.245 x4

***

## Mg2Zn3Pd2 (PBE-GGA)

Data for a geometry-optimized Mg2Zn3Pd2 structure.

Results
- VASP energy (eV per atom) = -2.9197
- crystal system = monoclinic
- size of the total moment (μB per formula unit) = 0.000
- calculated density (g/cm³) = 6.91
- formation energy from the elements (eV/f.u.) = -3.04

a b c (Å): 9.380 3.683 6.403
angles (deg): 90.00 96.26 90.00
Space group C2/m (No. 12)
One atom of each set of equivalent atoms:
Mg 0.135 0.000 0.426 x4
Zn 0.000 0.000 0.000 x2
Zn 0.218 0.500 0.134 x4
Pd 0.075 0.500 0.733 x4

***

## BaTl2As2O6 (PBE-GGA)

Data for a geometry-optimized BaTl2As2O6 structure.

Results
- VASP energy (eV per atom) = -5.6208
- crystal system = monoclinic
- size of the total moment (μB per formula unit) = 0.000
- calculated density (g/cm³) = 5.87
- energy relative to the elements, uncorrected (kcal/mol of atoms) = -33.80

a b c (Å): 10.830 6.516 7.539
angles (deg): 90.00 122.66 90.00
Space group C2/m (No. 12)
One atom of each set of equivalent atoms:
Ba 0.000 0.000 0.000 x2
Tl 0.208 0.000 0.672 x4
As 0.027 0.500 0.684 x4
O 0.058 0.286 0.295 x8
O 0.213 0.500 0.859 x4

***

## V3BRh (PBE-GGA)

Data for a geometry-optimized V3BRh structure.

Results
- VASP energy (eV per atom) = -8.3286
- crystal system = cubic
- energy above the most stable polymorph in this dataset (meV/atom) = 131
- size of the total moment (μB per formula unit) = 0.701
- calculated density (g/cm³) = 6.85
- formation energy from the elements (eV/f.u.) = -0.26

a b c (Å): 4.013 4.013 4.013
angles (deg): 90.00 90.00 90.00
Space group Pm-3m (No. 221)
One atom of each set of equivalent atoms:
V 0.000 0.000 0.500 x3
B 0.000 0.000 0.000 x1
Rh 0.500 0.500 0.500 x1

***

## Tl2CuIr (PBE-GGA)

Data for a geometry-optimized Tl2CuIr structure.

Results
- VASP energy (eV per atom) = -3.9268
- crystal system = orthorhombic
- energy above the most stable polymorph in this dataset (meV/atom) = 160
- size of the total moment (μB per formula unit) = 0.000
- calculated density (g/cm³) = 14.65
- formation energy from the elements (eV/f.u.) = 1.98

a b c (Å): 3.209 3.808 6.164
angles (deg): 90.00 90.00 90.00
Space group Pmmm (No. 47)
One atom of each set of equivalent atoms:
Tl 0.000 0.000 0.249 x2
Cu 0.500 0.500 0.000 x1
Ir 0.500 0.500 0.500 x1

***

## Pr2DyHf (PBE-GGA)

Data for a geometry-optimized Pr2DyHf structure.

Results
- VASP energy (eV per atom) = -5.8074
- crystal system = tetragonal
- energy above the most stable polymorph in this dataset (meV/atom) = 35
- size of the total moment (μB per formula unit) = 0.000
- calculated density (g/cm³) = 8.43
- formation energy from the elements (eV/f.u.) = 0.89

a b c (Å): 4.073 4.073 7.395
angles (deg): 90.00 90.00 90.00
Space group P4/mmm (No. 123)
One atom of each set of equivalent atoms:
Pr 0.000 0.000 0.224 x2
Dy 0.500 0.500 0.500 x1
Hf 0.500 0.500 0.000 x1

***

## Nd2P2RuN6 (PBE-GGA)

Data for a geometry-optimized Nd2P2RuN6 structure.

Results
- VASP energy (eV per atom) = -7.8049
- crystal system = trigonal
- size of the total moment (μB per formula unit) = 1.451
- calculated density (g/cm³) = 6.42
- energy relative to the elements, uncorrected (kcal/mol of atoms) = -13.15

a b c (Å): 5.4793 5.4793 15.9851
angles (deg): 90.00 90.00 120.00
Space group R-3m (No. 166, hexagonal axes)
One atom of each set of equivalent atoms:
Nd 0.0000 0.0000 0.2172 x6
P 0.0000 0.0000 0.4340 x6
Ru 0.0000 0.0000 0.0000 x3
N 0.0035 0.5017 0.7499 x18

***

## CaPmO2 (PBE-GGA)

Data for a geometry-optimized CaPmO2 structure.

Results
- VASP energy (eV per atom) = -6.8995
- crystal system = orthorhombic
- energy above the most stable polymorph in this dataset (meV/atom) = 90
- size of the total moment (μB per formula unit) = 0.000
- calculated density (g/cm³) = 5.99
- energy relative to the elements, uncorrected (kcal/mol of atoms) = -63.01

a b c (Å): 6.875 5.976 5.860
angles (deg): 90.00 90.00 90.00
Space group Pbcm (No. 57)
One atom of each set of equivalent atoms:
Ca 0.123 0.083 0.250 x4
Pm 0.372 0.585 0.250 x4
O 0.124 0.750 0.000 x4
O 0.373 0.250 0.000 x4

***

## Tb2SmDy (PBE-GGA)

Data for a geometry-optimized Tb2SmDy structure.

Results
- VASP energy (eV per atom) = -4.6333
- crystal system = trigonal
- energy above the most stable polymorph in this dataset (meV/atom) = 0
- size of the total moment (μB per formula unit) = 0.000
- calculated density (g/cm³) = 8.10
- formation energy from the elements (eV/f.u.) = 0.05

a b c (Å): 3.5932 3.5932 34.6898
angles (deg): 90.00 90.00 120.00
Space group R3m (No. 160, hexagonal axes)
One atom of each set of equivalent atoms:
Tb 0.0000 0.0000 0.0000 x3
Tb 0.0000 0.0000 0.1683 x3
Sm 0.0000 0.0000 0.4179 x3
Dy 0.0000 0.0000 0.5842 x3

***

## NbClF4 (PBE-GGA)

Data for a geometry-optimized NbClF4 structure.

Results
- VASP energy (eV per atom) = -5.7452
- crystal system = monoclinic
- energy above the most stable polymorph in this dataset (meV/atom) = 74
- size of the total moment (μB per formula unit) = 0.000
- calculated density (g/cm³) = 2.66
- energy relative to the elements, uncorrected (kcal/mol of atoms) = -57.92

a b c (Å): 4.972 5.830 10.098
angles (deg): 90.00 119.35 90.00
Space group P2_1/c (No. 14)
One atom of each set of equivalent atoms:
Nb 0.000 0.000 0.000 x2
Cl 0.500 0.000 0.000 x2
F 0.101 0.212 0.601 x4
F 0.190 0.652 0.691 x4

***

## Zr2TeN2 (PBE-GGA)

Data for a geometry-optimized Zr2TeN2 structure.

Results
- VASP energy (eV per atom) = -8.7156
- crystal system = orthorhombic
- size of the total moment (μB per formula unit) = 0.000
- calculated density (g/cm³) = 5.59
- energy relative to the elements, uncorrected (kcal/mol of atoms) = -30.85

a b c (Å): 3.761 4.173 12.792
angles (deg): 90.00 90.00 90.00
Space group Immm (No. 71)
One atom of each set of equivalent atoms:
Zr 0.000 0.000 0.183 x4
Te 0.000 0.500 0.500 x2
N 0.000 0.500 0.231 x4

***

## LiBe3 (PBE-GGA)

Data for a geometry-optimized LiBe3 structure.

Results
- VASP energy (eV per atom) = -3.0945
- crystal system = orthorhombic
- energy above the most stable polymorph in this dataset (meV/atom) = 149
- size of the total moment (μB per formula unit) = 0.000
- calculated density (g/cm³) = 1.54
- formation energy from the elements (eV/f.u.) = 0.71

a b c (Å): 2.259 7.746 4.184
angles (deg): 90.00 90.00 90.00
Space group Imm2 (No. 44)
One atom of each set of equivalent atoms:
Li 0.000 0.000 0.000 x2
Be 0.000 0.235 0.672 x4
Be 0.000 0.500 0.003 x2

***

## PrTmHg3 (PBE-GGA)

Data for a geometry-optimized PrTmHg3 structure.

Results
- VASP energy (eV per atom) = -2.4587
- crystal system = orthorhombic
- energy above the most stable polymorph in this dataset (meV/atom) = 0
- size of the total moment (μB per formula unit) = 0.216
- calculated density (g/cm³) = 11.62
- formation energy from the elements (eV/f.u.) = -2.14

a b c (Å): 3.592 29.210 4.965
angles (deg): 90.00 90.00 90.00
Space group Cmcm (No. 63)
One atom of each set of equivalent atoms:
Pr 0.000 0.076 0.250 x4
Tm 0.000 0.211 0.750 x4
Hg 0.000 0.315 0.750 x4
Hg 0.000 0.375 0.250 x4
Hg 0.000 0.475 0.250 x4

***

## CsBa3Si (PBE-GGA)

Data for a geometry-optimized CsBa3Si structure.

Results
- VASP energy (eV per atom) = -2.4386
- crystal system = cubic
- energy above the most stable polymorph in this dataset (meV/atom) = 0
- size of the total moment (μB per formula unit) = 0.006
- calculated density (g/cm³) = 3.16
- energy relative to the elements, uncorrected (kcal/mol of atoms) = -0.68

a b c (Å): 6.703 6.703 6.703
angles (deg): 90.00 90.00 90.00
Space group Pm-3m (No. 221)
One atom of each set of equivalent atoms:
Cs 0.000 0.000 0.000 x1
Ba 0.000 0.500 0.500 x3
Si 0.500 0.500 0.500 x1

***

## InCBr (PBE-GGA)

Data for a geometry-optimized InCBr structure.

Results
- VASP energy (eV per atom) = -4.3687
- crystal system = orthorhombic
- size of the total moment (μB per formula unit) = 0.000
- calculated density (g/cm³) = 4.48
- energy relative to the elements, uncorrected (kcal/mol of atoms) = 4.07

a b c (Å): 3.802 5.872 13.744
angles (deg): 90.00 90.00 90.00
Space group Immm (No. 71)
One atom of each set of equivalent atoms:
In 0.000 0.000 0.140 x4
C 0.000 0.500 0.453 x4
Br 0.000 0.500 0.184 x4

***

## KBeCo (PBE-GGA)

Data for a geometry-optimized KBeCo structure.

Results
- VASP energy (eV per atom) = -3.4404
- crystal system = tetragonal
- energy above the most stable polymorph in this dataset (meV/atom) = 0
- size of the total moment (μB per formula unit) = 0.186
- calculated density (g/cm³) = 3.40
- formation energy from the elements (eV/f.u.) = 1.61

a b c (Å): 3.018 3.018 11.470
angles (deg): 90.00 90.00 90.00
Space group I4mm (No. 107)
One atom of each set of equivalent atoms:
K 0.000 0.000 0.000 x2
Be 0.000 0.000 0.740 x2
Co 0.000 0.000 0.263 x2

***

## Ba2ZrAlAu (PBE-GGA)

Data for a geometry-optimized Ba2ZrAlAu structure.

Results
- VASP energy (eV per atom) = -3.2555
- crystal system = tetragonal
- size of the total moment (μB per formula unit) = 0.000
- calculated density (g/cm³) = 4.81
- formation energy from the elements (eV/f.u.) = 3.14

a b c (Å): 6.296 6.296 5.131
angles (deg): 90.00 90.00 90.00
Space group P4/mmm (No. 123)
One atom of each set of equivalent atoms:
Ba 0.000 0.500 0.000 x2
Zr 0.000 0.000 0.000 x1
Al 0.500 0.500 0.500 x1
Au 0.000 0.000 0.500 x1